Record 1
Tb5Dy4Ag | PBE | relaxed

CIF file:
```
data_Tb5Dy4Ag
_chemical_formula_sum 'Tb5 Dy4 Ag1'
_symmetry_space_group_name_H-M 'P 4/m m m'
_symmetry_Int_Tables_number 123
_symmetry_space_group_name_Hall '-P 4 2'
_cell_length_a 3.5550
_cell_length_b 3.5550
_cell_length_c 23.9865
_cell_angle_alpha 90.00
_cell_angle_beta 90.00
_cell_angle_gamma 90.00
loop_
_atom_site_label
_atom_site_fract_x
_atom_site_fract_y
_atom_site_fract_z
_atom_site_occupancy
Tb1 0.0000 0.0000 0.0000 1
Tb2 0.0000 0.0000 0.2095 1
Tb3 0.0000 0.0000 0.4196 1
Dy1 0.5000 0.5000 0.1046 1
Dy2 0.5000 0.5000 0.3133 1
Ag1 0.5000 0.5000 0.5000 1
```

Output
* calculated total energy: -4.4826 eV per atom
* energy of formation from the pure elements: -0.042 eV/atom
* M_tot: 0.0 μB/f.u.
* crystal system: tetragonal


Record 2
Tb2Dy2Ag3 | PBE | relaxed

CIF file:
```
data_Tb2Dy2Ag3
_chemical_formula_sum 'Tb4 Dy4 Ag6'
_symmetry_space_group_name_H-M 'C 1 2/m 1'
_symmetry_Int_Tables_number 12
_symmetry_space_group_name_Hall '-C 2y'
_cell_length_a 8.8423
_cell_length_b 5.1000
_cell_length_c 8.8145
_cell_angle_alpha 90.00
_cell_angle_beta 109.74
_cell_angle_gamma 90.00
loop_
_atom_site_label
_atom_site_fract_x
_atom_site_fract_y
_atom_site_fract_z
_atom_site_occupancy
Tb1 0.1266 0.0000 0.3804 1
Dy1 0.1227 0.5000 0.8684 1
Ag1 0.0000 0.0000 0.0000 1
Ag2 0.2491 0.5000 0.2490 1
```

Output
* calculated total energy: -4.0167 eV per atom
* energy of formation from the pure elements: -0.157 eV/atom
* M_tot: 0.0 μB/f.u.
* crystal system: monoclinic


Record 3
Tb4DyAg2 | PBE | relaxed

CIF file:
```
data_Tb4DyAg2
_chemical_formula_sum 'Tb12 Dy3 Ag6'
_symmetry_space_group_name_H-M 'R -3 m'
_symmetry_Int_Tables_number 166
_symmetry_space_group_name_Hall '-R 3 2"'
_cell_length_a 5.4360
_cell_length_b 5.4360
_cell_length_c 24.9621
_cell_angle_alpha 90.00
_cell_angle_beta 90.00
_cell_angle_gamma 120.00
loop_
_atom_site_label
_atom_site_fract_x
_atom_site_fract_y
_atom_site_fract_z
_atom_site_occupancy
Tb1 0.0000 0.0000 0.1264 1
Tb2 0.0000 0.0000 0.2695 1
Dy1 0.0000 0.0000 0.5000 1
Ag1 0.0000 0.0000 0.3865 1
```

Output
* calculated total energy: -4.0012 eV per atom
* energy of formation from the pure elements: 0.117 eV/atom
* M_tot: 0.0 μB/f.u.
* crystal system: trigonal


Record 4
Tb4Dy3Ag4 | PBE | relaxed

CIF file:
```
data_Tb4Dy3Ag4
_chemical_formula_sum 'Tb8 Dy6 Ag8'
_symmetry_space_group_name_H-M 'I m m m'
_symmetry_Int_Tables_number 71
_symmetry_space_group_name_Hall '-I 2 2'
_cell_length_a 5.0674
_cell_length_b 7.4167
_cell_length_c 15.9302
_cell_angle_alpha 90.00
_cell_angle_beta 90.00
_cell_angle_gamma 90.00
loop_
_atom_site_label
_atom_site_fract_x
_atom_site_fract_y
_atom_site_fract_z
_atom_site_occupancy
Tb1 0.0000 0.2252 0.1758 1
Dy1 0.0000 0.0000 0.3968 1
Dy2 0.0000 0.5000 0.5000 1
Ag1 0.0000 0.3108 0.0000 1
Ag2 0.0000 0.5000 0.3085 1
```

Output
* calculated total energy: -4.0690 eV per atom
* energy of formation from the pure elements: -0.093 eV/atom
* M_tot: 0.0 μB/f.u.
* crystal system: orthorhombic


Record 5
TbDyAg4 | PBE | relaxed

CIF file:
```
data_TbDyAg4
_chemical_formula_sum 'Tb2 Dy2 Ag8'
_symmetry_space_group_name_H-M 'C 1 2/m 1'
_symmetry_Int_Tables_number 12
_symmetry_space_group_name_Hall '-C 2y'
_cell_length_a 10.0243
_cell_length_b 3.7217
_cell_length_c 7.5623
_cell_angle_alpha 90.00
_cell_angle_beta 112.20
_cell_angle_gamma 90.00
loop_
_atom_site_label
_atom_site_fract_x
_atom_site_fract_y
_atom_site_fract_z
_atom_site_occupancy
Tb1 0.0000 0.0000 0.0000 1
Dy1 0.0000 0.0000 0.5000 1
Ag1 0.1694 0.5000 0.8336 1
Ag2 0.1698 0.5000 0.3358 1
```

Output
* calculated total energy: -3.7499 eV per atom
* distance to the lowest polymorph of the same formula: 0 meV/atom
* energy of formation from the pure elements: -0.310 eV/atom
* M_tot: 0.0 μB/f.u.
* crystal system: monoclinic


Record 6
TbDyAg2 | PBE | relaxed

CIF file:
```
data_TbDyAg2
_chemical_formula_sum 'Tb1 Dy1 Ag2'
_symmetry_space_group_name_H-M 'P 4/m m m'
_symmetry_Int_Tables_number 123
_symmetry_space_group_name_Hall '-P 4 2'
_cell_length_a 3.6396
_cell_length_b 3.6396
_cell_length_c 7.3037
_cell_angle_alpha 90.00
_cell_angle_beta 90.00
_cell_angle_gamma 90.00
loop_
_atom_site_label
_atom_site_fract_x
_atom_site_fract_y
_atom_site_fract_z
_atom_site_occupancy
Tb1 0.0000 0.0000 0.0000 1
Dy1 0.0000 0.0000 0.5000 1
Ag1 0.5000 0.5000 0.2524 1
```

Output
* calculated total energy: -4.0507 eV per atom
* energy of formation from the pure elements: -0.317 eV/atom
* M_tot: 0.0 μB/f.u.
* crystal system: tetragonal


Record 7
Tb3Dy2Ag2 | PBE | relaxed

CIF file:
```
data_Tb3Dy2Ag2
_chemical_formula_sum 'Tb9 Dy6 Ag6'
_symmetry_space_group_name_H-M 'R -3 m'
_symmetry_Int_Tables_number 166
_symmetry_space_group_name_Hall '-R 3 2"'
_cell_length_a 5.3501
_cell_length_b 5.3501
_cell_length_c 23.1870
_cell_angle_alpha 90.00
_cell_angle_beta 90.00
_cell_angle_gamma 120.00
loop_
_atom_site_label
_atom_site_fract_x
_atom_site_fract_y
_atom_site_fract_z
_atom_site_occupancy
Tb1 0.0000 0.0000 0.0000 1
Tb2 0.0000 0.0000 0.1618 1
Dy1 0.0000 0.0000 0.4249 1
Ag1 0.0000 0.0000 0.2885 1
```

Output
* calculated total energy: -4.2216 eV per atom
* distance to the lowest polymorph of the same formula: 57 meV/atom
* energy of formation from the pure elements: -0.108 eV/atom
* M_tot: 0.0 μB/f.u.
* crystal system: trigonal


Record 8
Tb2DyAg | PBE | relaxed

CIF file:
```
data_Tb2DyAg
_chemical_formula_sum 'Tb6 Dy3 Ag3'
_symmetry_space_group_name_H-M 'R -3 m'
_symmetry_Int_Tables_number 166
_symmetry_space_group_name_Hall '-R 3 2"'
_cell_length_a 3.5545
_cell_length_b 3.5545
_cell_length_c 31.5323
_cell_angle_alpha 90.00
_cell_angle_beta 90.00
_cell_angle_gamma 120.00
loop_
_atom_site_label
_atom_site_fract_x
_atom_site_fract_y
_atom_site_fract_z
_atom_site_occupancy
Tb1 0.0000 0.0000 0.2418 1
Dy1 0.0000 0.0000 0.0000 1
Ag1 0.0000 0.0000 0.5000 1
```

Output
* calculated total energy: -4.1988 eV per atom
* distance to the lowest polymorph of the same formula: 106 meV/atom
* energy of formation from the pure elements: -0.020 eV/atom
* M_tot: 0.0 μB/f.u.
* crystal system: trigonal


Record 9
TbDy4Ag | PBE | relaxed

CIF file:
```
data_TbDy4Ag
_chemical_formula_sum 'Tb1 Dy4 Ag1'
_symmetry_space_group_name_H-M 'P 4/m m m'
_symmetry_Int_Tables_number 123
_symmetry_space_group_name_Hall '-P 4 2'
_cell_length_a 3.5480
_cell_length_b 3.5480
_cell_length_c 13.9198
_cell_angle_alpha 90.00
_cell_angle_beta 90.00
_cell_angle_gamma 90.00
loop_
_atom_site_label
_atom_site_fract_x
_atom_site_fract_y
_atom_site_fract_z
_atom_site_occupancy
Tb1 0.0000 0.0000 0.0000 1
Dy1 0.0000 0.0000 0.3623 1
Dy2 0.5000 0.5000 0.1799 1
Ag1 0.5000 0.5000 0.5000 1
```

Output
* calculated total energy: -4.3953 eV per atom
* distance to the lowest polymorph of the same formula: 0 meV/atom
* energy of formation from the pure elements: -0.080 eV/atom
* M_tot: 0.0 μB/f.u.
* crystal system: tetragonal


Record 10
TbDy4Ag5 | PBE | relaxed

CIF file:
```
data_TbDy4Ag5
_chemical_formula_sum 'Tb1 Dy4 Ag5'
_symmetry_space_group_name_H-M 'P 4/m m m'
_symmetry_Int_Tables_number 123
_symmetry_space_group_name_Hall '-P 4 2'
_cell_length_a 3.6094
_cell_length_b 3.6094
_cell_length_c 18.4739
_cell_angle_alpha 90.00
_cell_angle_beta 90.00
_cell_angle_gamma 90.00
loop_
_atom_site_label
_atom_site_fract_x
_atom_site_fract_y
_atom_site_fract_z
_atom_site_occupancy
Tb1 0.0000 0.0000 0.0000 1
Dy1 0.0000 0.0000 0.2007 1
Dy2 0.0000 0.0000 0.4002 1
Ag1 0.5000 0.5000 0.1013 1
Ag2 0.5000 0.5000 0.3005 1
Ag3 0.5000 0.5000 0.5000 1
```

Output
* calculated total energy: -4.0526 eV per atom
* energy of formation from the pure elements: -0.323 eV/atom
* M_tot: 0.0 μB/f.u.
* crystal system: tetragonal


Record 11
TbDy6Ag | PBE | relaxed

CIF file:
```
data_TbDy6Ag
_chemical_formula_sum 'Tb3 Dy18 Ag3'
_symmetry_space_group_name_H-M 'R -3'
_symmetry_Int_Tables_number 148
_symmetry_space_group_name_Hall '-R 3'
_cell_length_a 9.2821
_cell_length_b 9.2821
_cell_length_c 9.7515
_cell_angle_alpha 90.00
_cell_angle_beta 90.00
_cell_angle_gamma 120.00
loop_
_atom_site_label
_atom_site_fract_x
_atom_site_fract_y
_atom_site_fract_z
_atom_site_occupancy
Tb1 0.0000 0.0000 0.0000 1
Dy1 0.0301 0.2526 0.7076 1
Ag1 0.0000 0.0000 0.5000 1
```

Output
* calculated total energy: -4.3436 eV per atom
* energy of formation from the pure elements: 0.043 eV/atom
* M_tot: 0.0 μB/f.u.
* crystal system: trigonal


Record 12
Tb3Dy2Ag3 | PBE | relaxed

CIF file:
```
data_Tb3Dy2Ag3
_chemical_formula_sum 'Tb6 Dy4 Ag6'
_symmetry_space_group_name_H-M 'I m m m'
_symmetry_Int_Tables_number 71
_symmetry_space_group_name_Hall '-I 2 2'
_cell_length_a 3.6769
_cell_length_b 5.2728
_cell_length_c 21.5748
_cell_angle_alpha 90.00
_cell_angle_beta 90.00
_cell_angle_gamma 90.00
loop_
_atom_site_label
_atom_site_fract_x
_atom_site_fract_y
_atom_site_fract_z
_atom_site_occupancy
Tb1 0.0000 0.0000 0.0000 1
Tb2 0.0000 0.5000 0.1207 1
Dy1 0.0000 0.0000 0.2317 1
Ag1 0.0000 0.0000 0.5000 1
Ag2 0.0000 0.5000 0.3824 1
```

Output
* calculated total energy: -4.1735 eV per atom
* energy of formation from the pure elements: -0.217 eV/atom
* M_tot: 0.0 μB/f.u.
* crystal system: orthorhombic


> M_tot of number 7 (Tb3Dy2Ag2)?

0.0 μB/f.u.


Repeat the third record exactly.
Tb4DyAg2 | PBE | relaxed

CIF file:
```
data_Tb4DyAg2
_chemical_formula_sum 'Tb12 Dy3 Ag6'
_symmetry_space_group_name_H-M 'R -3 m'
_symmetry_Int_Tables_number 166
_symmetry_space_group_name_Hall '-R 3 2"'
_cell_length_a 5.4360
_cell_length_b 5.4360
_cell_length_c 24.9621
_cell_angle_alpha 90.00
_cell_angle_beta 90.00
_cell_angle_gamma 120.00
loop_
_atom_site_label
_atom_site_fract_x
_atom_site_fract_y
_atom_site_fract_z
_atom_site_occupancy
Tb1 0.0000 0.0000 0.1264 1
Tb2 0.0000 0.0000 0.2695 1
Dy1 0.0000 0.0000 0.5000 1
Ag1 0.0000 0.0000 0.3865 1
```

Output
* calculated total energy: -4.0012 eV per atom
* energy of formation from the pure elements: 0.117 eV/atom
* M_tot: 0.0 μB/f.u.
* crystal system: trigonal


Repeat the third record exactly.
Tb4DyAg2 | PBE | relaxed

CIF file:
```
data_Tb4DyAg2
_chemical_formula_sum 'Tb12 Dy3 Ag6'
_symmetry_space_group_name_H-M 'R -3 m'
_symmetry_Int_Tables_number 166
_symmetry_space_group_name_Hall '-R 3 2"'
_cell_length_a 5.4360
_cell_length_b 5.4360
_cell_length_c 24.9621
_cell_angle_alpha 90.00
_cell_angle_beta 90.00
_cell_angle_gamma 120.00
loop_
_atom_site_label
_atom_site_fract_x
_atom_site_fract_y
_atom_site_fract_z
_atom_site_occupancy
Tb1 0.0000 0.0000 0.1264 1
Tb2 0.0000 0.0000 0.2695 1
Dy1 0.0000 0.0000 0.5000 1
Ag1 0.0000 0.0000 0.3865 1
```

Output
* calculated total energy: -4.0012 eV per atom
* energy of formation from the pure elements: 0.117 eV/atom
* M_tot: 0.0 μB/f.u.
* crystal system: trigonal